Material: Y3NiF
Method: DFT, PBE+U
State: optimized geometry

a = 4.746 Å, b = 4.746 Å, c = 4.746 Å
α = 90.00°, β = 90.00°, γ = 90.00°
Site moments in Bohr magnetons follow the coordinates.
Element x y z (fractional)
Y 0.000 0.500 0.000  -0.01
Y 0.000 0.000 0.500  0.00
Y 0.500 0.000 0.000  -0.03
Ni 0.500 0.500 0.500  0.23
F 0.000 0.000 0.000  0.00

Output
The space-group type is Pm-3m, No. 221. The calculation puts the electronic total energy at -0.191 Ha/atom. As for the crystal system: cubic. The volume comes out at 106.9 Å³ per cell. The value obtained for the energy above the lowest structure with this stoichiometry is 0 meV/atom. The total moment comes out at 0.02 μB/atom.